A crystal of Mg2PbCl relaxed with PBEsol, computed with SCAN.

space group	No. 12
volume	105	Å³ per cell
total DFT energy (no corrections)	-1.77371	Ry per atom

a = 3.4501 Å, b = 4.6792 Å, c = 7.1952 Å
α = 84.97°, β = 76.13°, γ = 68.37°
Fractional positions:
Cl  0.0000  0.5000  0.5000
Pb  0.5000  0.0000  0.0000
Mg  0.6737  0.4373  0.2154
Mg  0.3263  0.5627  0.7846

---

A crystal of SrSiNi2 relaxed with PBEsol, computed with SCAN.

space group	No. 99
volume	75	Å³ per cell
total DFT energy (no corrections)	-1.20107	Ry per atom

a = 3.7176 Å, b = 3.7176 Å, c = 5.4076 Å
α = 90.00°, β = 90.00°, γ = 90.00°
Fractional positions:
Ni  0.0000  0.5000  0.1860
Si  0.0000  0.0000  0.3976
Sr  0.5000  0.5000  0.7314
Ni  0.5000  0.0000  0.1860

---

A crystal of Ca2LaNi relaxed with PBEsol, computed with SCAN.

space group	No. 38
volume	125	Å³ per cell
energy relative to the elements	-0.076	eV/atom
total DFT energy (no corrections)	-1.44995	Ry per atom

a = 3.7125 Å, b = 4.0816 Å, c = 8.4840 Å
α = 103.92°, β = 90.00°, γ = 90.00°
Fractional positions:
Ni  0.5000  0.9872  0.9745
Ca  0.5000  0.1675  0.3351
Ca  0.0000  0.8356  0.6712
La  0.0000  0.5111  0.0223

---

A crystal of CaIrSe2 relaxed with PBEsol, computed with SCAN.

space group	No. 119
volume	75	Å³ per cell
total DFT energy (no corrections)	-2.23755	Ry per atom

a = 3.8797 Å, b = 3.8797 Å, c = 5.6609 Å
α = 110.04°, β = 110.04°, γ = 90.00°
Fractional positions:
Ca  0.5000  0.5000  0.0000
Se  0.7500  0.2500  0.5000
Ir  0.2500  0.7500  0.5000
Se  0.0000  0.0000  0.0000